1.
Entry from the Alexandria database: V2TcIr after structural relaxation (PBE).

energy	-38.8	eV per cell
formation energy	-0.3323	eV per atom
space-group type	No. 123

a b c (Å): 4.165 4.165 3.224
angles (deg): 90.00 90.00 90.00
Sites, in units of the cell vectors:
V: 0.000 0.500 0.000
V: 0.500 0.000 0.000
Tc: 0.000 0.000 0.500
Ir: 0.500 0.500 0.500

---

2.
Entry from the Alexandria database: AcCeNiSe4 after structural relaxation (PBE).

energy	-79.8	eV per cell
raw formation energy	-1.45	eV per atom
space-group type	No. 11

a b c (Å): 7.046 5.999 8.571
angles (deg): 90.00 107.19 90.00
Sites, in units of the cell vectors:
Ac: 0.237 0.250 0.431
Ac: 0.763 0.750 0.569
Ce: 0.234 0.250 0.940
Ce: 0.766 0.750 0.060
Ni: 0.253 0.750 0.183
Ni: 0.747 0.250 0.817
Se: 0.072 0.750 0.377
Se: 0.084 0.750 0.905
Se: 0.487 0.506 0.760
Se: 0.487 0.994 0.760
Se: 0.513 0.006 0.240
Se: 0.513 0.494 0.240
Se: 0.916 0.250 0.095
Se: 0.928 0.250 0.623

---

3.
Entry from the Alexandria database: Sn2PCl after structural relaxation (PBE).

energy	-49.6	eV per cell
raw formation energy	-0.32	eV per atom
offset from the most stable computed form	0	meV/atom
space-group type	No. 166

a b c (Å): 4.136 4.136 21.472
angles (deg): 90.00 90.00 120.00
Sites, in units of the cell vectors:
Sn: 0.000 0.000 0.237
Sn: 0.000 0.000 0.763
Sn: 0.333 0.667 0.429
Sn: 0.333 0.667 0.904
Sn: 0.667 0.333 0.096
Sn: 0.667 0.333 0.571
P: 0.000 0.000 0.500
P: 0.333 0.667 0.167
P: 0.667 0.333 0.833
Cl: 0.000 0.000 0.000
Cl: 0.333 0.667 0.667
Cl: 0.667 0.333 0.333

---

4.
Entry from the Alexandria database: BeAlCd2 after structural relaxation (PBE).

energy	-8.1	eV per cell
formation energy	0.2938	eV per atom
offset from the most stable computed form	79	meV/atom
space-group type	No. 25

a b c (Å): 2.840 3.730 6.814
angles (deg): 90.00 90.00 90.00
Sites, in units of the cell vectors:
Be: 0.000 0.000 0.000
Al: 0.500 0.500 0.848
Cd: 0.000 0.000 0.570
Cd: 0.500 0.500 0.260

---

5.
Entry from the Alexandria database: CdHPtAu after structural relaxation (PBE).

energy	-27.7	eV per cell
space-group type	No. 8

a b c (Å): 7.876 5.237 2.890
angles (deg): 90.00 90.27 90.00
Sites, in units of the cell vectors:
Cd: 0.000 0.000 0.000
Cd: 0.500 0.500 0.000
H: 0.064 0.500 0.993
H: 0.564 0.000 0.993
Pt: 0.189 0.500 0.495
Pt: 0.689 0.000 0.495
Au: 0.318 0.000 0.502
Au: 0.818 0.500 0.502

---

6.
Entry from the Alexandria database: CeGe2Ru2 after structural relaxation (PBE).

energy	-73.9	eV per cell
formation energy	-0.6494	eV per atom
space-group type	No. 139

a b c (Å): 4.286 4.286 9.994
angles (deg): 90.00 90.00 90.00
Sites, in units of the cell vectors:
Ce: 0.000 0.000 0.000
Ce: 0.500 0.500 0.500
Ge: 0.000 0.000 0.369
Ge: 0.000 0.000 0.631
Ge: 0.500 0.500 0.131
Ge: 0.500 0.500 0.869
Ru: 0.000 0.500 0.250
Ru: 0.000 0.500 0.750
Ru: 0.500 0.000 0.250
Ru: 0.500 0.000 0.750

---

7.
Entry from the Alexandria database: RbPtBr2 after structural relaxation (PBE).

energy	-37.0	eV per cell
raw formation energy	-0.50	eV per atom
offset from the most stable computed form	0	meV/atom
space-group type	No. 166

a b c (Å): 5.836 5.836 19.900
angles (deg): 90.00 90.00 120.00
Sites, in units of the cell vectors:
Rb: 0.000 0.000 0.000
Rb: 0.333 0.667 0.667
Rb: 0.667 0.333 0.333
Pt: 0.000 0.000 0.500
Pt: 0.333 0.667 0.167
Pt: 0.667 0.333 0.833
Br: 0.000 0.000 0.382
Br: 0.000 0.000 0.618
Br: 0.333 0.667 0.048
Br: 0.333 0.667 0.285
Br: 0.667 0.333 0.715
Br: 0.667 0.333 0.952

---

8.
Entry from the Alexandria database: BeTeAs2Br after structural relaxation (PBE).

energy	-16.0	eV per cell
raw formation energy	0.36	eV per atom
offset from the most stable computed form	0	meV/atom
space-group type	No. 123

a b c (Å): 4.847 4.847 4.471
angles (deg): 90.00 90.00 90.00
Sites, in units of the cell vectors:
Be: 0.000 0.000 0.000
Te: 0.500 0.500 0.500
As: 0.000 0.500 0.000
As: 0.500 0.000 0.000
Br: 0.000 0.000 0.500

---

9.
Entry from the Alexandria database: PrDy3Tm5 after structural relaxation (PBE).

energy	-74.3	eV per cell
formation energy	0.4212	eV per atom
offset from the most stable computed form	82	meV/atom
space-group type	No. 12

a b c (Å): 9.266 9.266 12.121
angles (deg): 125.97 125.97 50.47
Sites, in units of the cell vectors:
Pr: 0.238 0.238 0.133
Pr: 0.762 0.762 0.867
Dy: 0.000 0.000 0.000
Dy: 0.171 0.171 0.341
Dy: 0.379 0.379 0.685
Dy: 0.500 0.500 0.500
Dy: 0.621 0.621 0.315
Dy: 0.829 0.829 0.659
Tm: 0.121 0.121 0.565
Tm: 0.141 0.729 0.218
Tm: 0.271 0.859 0.782
Tm: 0.299 0.299 0.927
Tm: 0.322 0.678 0.000
Tm: 0.678 0.322 0.000
Tm: 0.701 0.701 0.073
Tm: 0.729 0.141 0.218
Tm: 0.859 0.271 0.782
Tm: 0.879 0.879 0.435

---

10.
Entry from the Alexandria database: LiIr2Au2 after structural relaxation (PBE).

energy	-49.5	eV per cell
formation energy	0.2923	eV per atom
space-group type	No. 127

a b c (Å): 8.013 8.013 2.769
angles (deg): 90.00 90.00 90.00
Sites, in units of the cell vectors:
Li: 0.000 0.000 0.000
Li: 0.500 0.500 0.000
Ir: 0.114 0.386 0.000
Ir: 0.386 0.886 0.000
Ir: 0.614 0.114 0.000
Ir: 0.886 0.614 0.000
Au: 0.186 0.686 0.500
Au: 0.314 0.186 0.500
Au: 0.686 0.814 0.500
Au: 0.814 0.314 0.500

---

11.
Entry from the Alexandria database: K2Li2HfSe4 after structural relaxation (PBE).

energy	-41.8	eV per cell
raw formation energy	-1.32	eV per atom
space-group type	No. 12

a b c (Å): 7.799 7.799 7.769
angles (deg): 109.41 109.41 30.11
Sites, in units of the cell vectors:
K: 0.139 0.139 0.062
K: 0.861 0.861 0.938
Li: 0.319 0.319 0.517
Li: 0.681 0.681 0.483
Hf: 0.000 0.000 0.500
Se: 0.190 0.190 0.674
Se: 0.487 0.487 0.729
Se: 0.513 0.513 0.271
Se: 0.810 0.810 0.326

---

12.
Entry from the Alexandria database: MgScS2I after structural relaxation (PBE).

energy	-18.2	eV per cell
raw formation energy	-0.10	eV per atom
space-group type	No. 123

a b c (Å): 4.631 4.631 6.382
angles (deg): 90.00 90.00 90.00
Sites, in units of the cell vectors:
Mg: 0.000 0.000 0.000
Sc: 0.000 0.000 0.500
S: 0.000 0.500 0.000
S: 0.500 0.000 0.000
I: 0.500 0.500 0.500

---

Calculated values (Å³ per cell) of calculated volume for the records, taken in order: 55.94; 346.12; 318.09; 72.19; 119.21; 183.62; 586.90; 105.03; 610.58; 177.79; 222.61; 136.89.
Calculated values (μB/cell) of magnetization for the records, taken in order: 0.6; 0.5; 0.0; 0.0; 0.0; 1.5; 3.0; 0.0; 0.0; 0.0; 0.0; 0.8.